! SrHoMgGa (PBE, optimized geometry); values from VASP
&SYSTEM
  ibrav = 0, nat = 4, ntyp = 4
/
ATOMIC_SPECIES
Sr 87.62 Sr.upf
Mg 24.30 Mg.upf
Ho 164.93 Ho.upf
Ga 69.72 Ga.upf
ATOMIC_POSITIONS angstrom
Sr 0.0000 0.0000 0.0000
Mg -0.7557 2.0066 2.5123
Ho -1.5114 4.0131 5.0245
Ga -2.2671 6.0197 7.5368
CELL_PARAMETERS angstrom
-3.9959 2.6457 2.4745
0.0457 0.5484 5.3654
0.9275 4.8322 2.2091
! formation energy	-0.193	eV per atom
! Fermi-level density of states	2.50	states/eV/cell
! raw total energy	-0.1071	hartree per atom

=====

! HoThMgGa (PBE, optimized geometry); values from VASP
&SYSTEM
  ibrav = 0, nat = 4, ntyp = 4
/
ATOMIC_SPECIES
Mg 24.30 Mg.upf
Ga 69.72 Ga.upf
Ho 164.93 Ho.upf
Th 232.04 Th.upf
ATOMIC_POSITIONS angstrom
Mg 1.5152 7.9014 5.2752
Ga 0.5051 2.6338 1.7584
Ho 0.0000 0.0000 0.0000
Th 1.0101 5.2676 3.5168
CELL_PARAMETERS angstrom
-0.0883 5.2360 -0.0193
-1.4458 2.6103 4.3035
3.5544 2.6889 2.7494
! formation energy	-0.226	eV per atom
! Fermi-level density of states	2.66	states/eV/cell
! raw total energy	-0.1610	hartree per atom

=====

! HoMgTiGa (PBE, optimized geometry); values from VASP
&SYSTEM
  ibrav = 0, nat = 4, ntyp = 4
/
ATOMIC_SPECIES
Mg 24.30 Mg.upf
Ho 164.93 Ho.upf
Ga 69.72 Ga.upf
Ti 47.87 Ti.upf
ATOMIC_POSITIONS angstrom
Mg 0.0000 0.0000 0.0000
Ho 7.2875 4.2074 2.9751
Ga 4.8583 2.8049 1.9834
Ti 2.4292 1.4025 0.9917
CELL_PARAMETERS angstrom
4.8583 0.0000 0.0000
2.4292 4.2074 0.0000
2.4292 1.4025 3.9668
! formation energy	-0.139	eV per atom
! Fermi-level density of states	3.58	states/eV/cell
! raw total energy	-0.1622	hartree per atom

=====

! HoMgTlGa (PBE, optimized geometry); values from VASP
&SYSTEM
  ibrav = 0, nat = 4, ntyp = 4
/
ATOMIC_SPECIES
Ho 164.93 Ho.upf
Mg 24.30 Mg.upf
Tl 204.38 Tl.upf
Ga 69.72 Ga.upf
ATOMIC_POSITIONS angstrom
Ho 1.3526 -1.0603 -2.6058
Mg 0.3247 -3.1539 -0.3562
Tl 2.8913 -1.4541 0.1611
Ga 0.0000 0.0000 0.0000
CELL_PARAMETERS angstrom
-1.2140 -2.7601 -3.1232
3.9192 0.6394 -2.0885
1.8635 -3.5477 2.4108
! formation energy	-0.328	eV per atom
! relative energy among the computed polymorphs	0	meV/atom
! Fermi-level density of states	1.89	states/eV/cell
! raw total energy	-0.1183	hartree per atom

=====

! HoMgTlGa (PBE, optimized geometry); values from VASP
&SYSTEM
  ibrav = 0, nat = 4, ntyp = 4
/
ATOMIC_SPECIES
Mg 24.30 Mg.upf
Tl 204.38 Tl.upf
Ho 164.93 Ho.upf
Ga 69.72 Ga.upf
ATOMIC_POSITIONS angstrom
Mg 2.5468 1.4704 1.0397
Tl 5.0936 2.9408 2.0794
Ho 7.6403 4.4112 3.1192
Ga 0.0000 0.0000 0.0000
CELL_PARAMETERS angstrom
5.0936 0.0000 0.0000
2.5468 4.4112 0.0000
2.5468 1.4704 4.1589
! formation energy	-0.259	eV per atom
! relative energy among the computed polymorphs	69	meV/atom
! Fermi-level density of states	2.06	states/eV/cell
! raw total energy	-0.1158	hartree per atom

=====

! Ho2MgZn4Ga3 (PBE, optimized geometry); values from VASP
&SYSTEM
  ibrav = 0, nat = 10, ntyp = 4
/
ATOMIC_SPECIES
Ho 164.93 Ho.upf
Mg 24.30 Mg.upf
Zn 65.41 Zn.upf
Ga 69.72 Ga.upf
ATOMIC_POSITIONS angstrom
Ho 0.6541 -1.8222 2.6966
Ho 0.8246 -8.2883 2.2555
Mg -0.3349 -5.1512 3.4680
Zn -2.1485 -0.1920 1.9838
Zn 0.0000 0.0000 0.0000
Zn 2.1385 -5.8812 3.9114
Zn -0.6598 -4.2293 1.0407
Ga 1.8136 -4.9592 1.4842
Ga 2.9306 -8.0472 4.5596
Ga -1.4519 -2.0633 0.3925
CELL_PARAMETERS angstrom
-0.4068 1.0453 3.9898
-3.8902 -1.4293 -0.0222
3.6272 -9.9185 2.9683
! formation energy	-0.375	eV per atom
! Fermi-level density of states	3.85	states/eV/cell
! raw total energy	-0.1054	hartree per atom

=====

! HoMgZn2Ga2 (PBE, optimized geometry); values from VASP
&SYSTEM
  ibrav = 0, nat = 6, ntyp = 4
/
ATOMIC_SPECIES
Ho 164.93 Ho.upf
Mg 24.30 Mg.upf
Zn 65.41 Zn.upf
Ga 69.72 Ga.upf
ATOMIC_POSITIONS angstrom
Ho 0.0000 0.0000 0.0000
Mg 0.0000 0.0000 3.4020
Zn 2.1826 1.2601 1.8290
Zn 0.0000 2.5203 4.9751
Ga 2.1826 1.2601 5.1027
Ga 0.0000 2.5203 1.7013
CELL_PARAMETERS angstrom
4.3652 0.0000 0.0000
-2.1826 3.7804 0.0000
0.0000 0.0000 6.8040
! formation energy	-0.396	eV per atom
! Fermi-level density of states	1.35	states/eV/cell
! raw total energy	-0.1050	hartree per atom

=====

! HoMgZrGa (PBE, optimized geometry); values from VASP
&SYSTEM
  ibrav = 0, nat = 4, ntyp = 4
/
ATOMIC_SPECIES
Mg 24.30 Mg.upf
Ga 69.72 Ga.upf
Ho 164.93 Ho.upf
Zr 91.22 Zr.upf
ATOMIC_POSITIONS angstrom
Mg 1.6335 0.5069 5.8525
Ga 0.0000 0.0000 0.0000
Ho 0.8168 0.2535 2.9263
Zr 2.4503 0.7604 8.7788
CELL_PARAMETERS angstrom
-0.2695 2.8659 4.0619
-0.3216 -2.0925 4.5059
3.8581 0.2404 3.1373
! formation energy	-0.230	eV per atom
! Fermi-level density of states	3.15	states/eV/cell
! raw total energy	-0.1715	hartree per atom